An optimized crystal structure of LiBeNb. Source: Alexandria, functional GGA-PBE.

Computed properties:
ΔE to the lowest computed polymorph = 0.084 eV per atom
E_tot = -5.06 eV/atom
energy of formation = 0.181 eV per atom

a b c (Å): 5.4422 5.4422 3.7894
angles (deg): 90.00 90.00 135.77
Last column: nearest neighbours and their distance in Å.
Sites, in units of the cell vectors:
Li  0.0548  0.9452  0.7500  2 Li 2.19, 2 Be 2.35
Li  0.9452  0.0548  0.2500  2 Li 2.19, 2 Be 2.35
Be  0.4400  0.5600  0.7500  2 Be 2.25, 2 Li 2.35
Be  0.5600  0.4400  0.2500  2 Be 2.25, 2 Li 2.35
Nb  0.2660  0.7340  0.2500  2 Be 2.58, 4 Li 2.73-2.85, 4 Nb 2.81
Nb  0.7340  0.2660  0.7500  2 Be 2.58, 4 Li 2.73-2.85, 4 Nb 2.81